4
Lattice="-1.826 1.826 3.708 1.826 -1.826 3.708 1.826 1.826 -3.708" Properties=species:S:1:pos:R:3 comment="ReNi2Os (meta-GGA SCAN, single point on PBEsol structure)" dos_ef_per_ev_cell=3.737 de_polymorph_ev_per_atom=0.131 spacegroup="I4/mmm, No. 139" rho_g_cm3=16.57 magmom_total_mub_per_cell=0.00 final_energy_ev_per_cell=-174.75 ef_kj_per_mol_atoms=14 pbc="T T T"
Re 0.000 0.000 0.000
Ni 1.826 0.000 1.854
Ni 0.000 1.826 1.854
Os 0.000 0.000 3.708

4
Lattice="1.319 0.762 8.465 -1.319 0.762 8.465 0.000 -1.523 8.465" Properties=species:S:1:pos:R:3 comment="NiRu3 (meta-GGA SCAN, single point on PBEsol structure)" dos_ef_per_ev_cell=4.249 spacegroup="R-3m, No. 166" rho_g_cm3=11.78 magmom_total_mub_per_cell=0.59 final_energy_ev_per_cell=-119.95 ef_kj_per_mol_atoms=17 pbc="T T T"
Ni 0.000 0.000 0.000
Ru 0.000 0.000 6.382
Ru 0.000 0.000 12.698
Ru 0.000 0.000 19.014

40
Lattice="16.426 -1.931 0.000 16.426 1.931 0.000 -0.162 0.000 14.238" Properties=species:S:1:pos:R:3 comment="In5Bi3S12 (meta-GGA SCAN, single point on PBEsol structure)" spacegroup="C2/m, No. 12" raw_formation_energy_ev_per_atom=-0.53 rho_g_cm3=5.83 magmom_total_mub_per_cell=0.00 final_energy_ev_per_cell=-1057.75 pbc="T T T"
In 0.000 0.000 0.000
In -0.081 0.000 7.119
In 2.299 0.000 3.167
In 6.974 0.000 13.037
In 10.646 0.000 4.064
In 13.200 0.000 0.063
In 19.489 0.000 14.176
In 22.043 0.000 10.175
In 25.716 0.000 1.201
In 30.390 0.000 11.072
Bi 4.254 0.000 6.860
Bi 10.356 0.000 10.967
Bi 14.609 0.000 4.058
Bi 18.081 0.000 10.180
Bi 22.334 0.000 3.271
Bi 28.435 0.000 7.378
S 0.126 0.000 4.518
S 1.905 0.000 12.791
S 3.672 0.000 9.704
S 4.156 0.000 1.478
S 6.340 0.000 5.017
S 7.246 0.000 10.472
S 7.449 0.000 1.301
S 10.382 0.000 6.604
S 11.079 0.000 1.492
S 12.877 0.000 9.768
S 14.581 0.000 6.730
S 15.160 0.000 12.727
S 17.529 0.000 1.511
S 18.108 0.000 7.508
S 19.812 0.000 4.470
S 21.611 0.000 12.746
S 22.307 0.000 7.634
S 25.240 0.000 12.937
S 25.444 0.000 3.766
S 26.349 0.000 9.221
S 28.533 0.000 12.760
S 29.017 0.000 4.534
S 30.784 0.000 1.447
S 32.563 0.000 9.720

52
Lattice="7.756 0.000 0.000 0.000 11.420 0.000 -4.402 0.000 8.933" Properties=species:S:1:pos:R:3 comment="K2ThAs2O8 (meta-GGA SCAN, single point on PBEsol structure)" dos_ef_per_ev_cell=0.000 spacegroup="P2_1/c, No. 14" raw_formation_energy_ev_per_atom=-2.31 rho_g_cm3=4.94 magmom_total_mub_per_cell=0.00 final_energy_ev_per_cell=-931.37 pbc="T T T"
K 0.925 1.440 0.368
K -1.276 4.270 4.834
K 0.606 1.380 4.051
K -1.595 4.330 8.518
K 4.949 7.090 0.415
K 2.748 10.040 4.882
K 4.629 7.151 4.099
K 2.428 9.980 8.565
Th 0.749 7.253 2.508
Th -1.453 9.878 6.975
Th 4.806 1.542 1.958
Th 2.605 4.168 6.424
As -3.261 7.313 7.631
As -1.060 9.818 3.164
As 0.791 7.232 5.715
As 2.992 9.899 1.248
As 0.361 1.522 7.685
As 2.562 4.188 3.218
As 4.414 1.603 5.768
As 6.615 4.108 1.302
O -3.067 0.171 6.652
O -0.866 5.539 2.186
O -0.764 2.706 2.221
O -2.965 3.004 6.687
O 0.311 7.334 0.192
O -1.891 9.797 4.659
O -0.511 6.898 4.649
O 1.691 10.232 0.183
O -1.574 7.530 7.825
O 0.627 9.600 3.359
O 0.052 0.260 6.562
O 2.253 5.451 2.096
O -0.914 1.594 8.837
O 1.287 4.116 4.371
O 2.825 8.393 2.045
O 0.624 8.738 6.511
O 2.730 2.683 2.422
O 0.529 3.027 6.888
O 2.066 7.304 4.562
O 4.267 9.826 0.095
O 1.100 5.970 6.837
O 3.301 11.161 2.371
O 2.726 1.820 5.574
O 4.927 3.890 1.107
O 1.663 1.188 8.750
O 3.864 4.522 4.283
O 5.244 1.624 4.274
O 3.043 4.087 8.741
O 6.318 8.416 2.246
O 4.117 8.714 6.712
O 4.219 5.881 6.747
O 6.420 11.250 2.280